No. 1
# Be2TeRu

An optimized crystal structure of Be2TeRu (PBE, Alexandria via LeMat-Bulk).

The uncorrected energy is -54.0 eV for the cell shown. As for the uncorrected formation energy: 45 kJ per mole of atoms.

It has space group R-3m (No. 166, hexagonal axes), with a = 3.0279 Å, b = 3.0279 Å, c = 23.5472 Å, α = 90.00°, β = 90.00° and γ = 120.00°. The inequivalent atoms are Be at (0.0000, 0.0000, 0.2302), Te at (0.0000, 0.0000, 0.0000) and Ru at (0.0000, 0.0000, 0.5000).

No. 2
# Ce5Sn2SbN

An optimized crystal structure of Ce5Sn2SbN (PBE, Alexandria via LeMat-Bulk).

The uncorrected energy is -57.6 eV for the cell shown. As for the uncorrected formation energy: -80 kJ per mole of atoms.

It has space group P4/mmm (No. 123), with a = 4.732 Å, b = 4.732 Å, c = 11.577 Å, α = 90.00°, β = 90.00° and γ = 90.00°. The inequivalent atoms are Ce at (0.000, 0.000, 0.000), Ce at (0.000, 0.500, 0.500), Ce at (0.500, 0.500, 0.270), Sn at (0.000, 0.000, 0.291), Sb at (0.500, 0.500, 0.000) and N at (0.500, 0.500, 0.500).

No. 3
# SmSc3Cd4

An optimized crystal structure of SmSc3Cd4 (PBE, Alexandria via LeMat-Bulk).

The uncorrected energy is -29.6 eV for the cell shown. As for the calculated formation energy: -0.2830 eV per atom.

It has space group P4/mmm (No. 123), with a = 5.054 Å, b = 5.054 Å, c = 7.384 Å, α = 90.00°, β = 90.00° and γ = 90.00°. The inequivalent atoms are Sm at (0.000, 0.000, 0.000), Sc at (0.000, 0.000, 0.500), Sc at (0.500, 0.500, 0.000), Sc at (0.500, 0.500, 0.500) and Cd at (0.000, 0.500, 0.267).

No. 4
# Pm5Co2Ag

An optimized crystal structure of Pm5Co2Ag (PBE, Alexandria via LeMat-Bulk).

The uncorrected energy is -167.7 eV for the cell shown. As for the calculated formation energy: -0.1373 eV per atom.

It has space group I4/mcm (No. 140), with a = 7.768 Å, b = 7.768 Å, c = 13.531 Å, α = 90.00°, β = 90.00° and γ = 90.00°. The inequivalent atoms are Pm at (0.000, 0.000, 0.000), Pm at (0.161, 0.339, 0.133), Co at (0.134, 0.366, 0.500) and Ag at (0.000, 0.000, 0.250).

No. 5
# KTl3Ag3

An optimized crystal structure of KTl3Ag3 (PBE, Alexandria via LeMat-Bulk).

The uncorrected energy is -30.4 eV for the cell shown. As for the calculated formation energy: 0.2232 eV per atom.

It has space group Pm-3n (No. 223), with a = 7.942 Å, b = 7.942 Å, c = 7.942 Å, α = 90.00°, β = 90.00° and γ = 90.00°. The inequivalent atoms are K at (0.000, 0.000, 0.000), Tl at (0.000, 0.250, 0.500) and Ag at (0.000, 0.500, 0.250).

No. 6
# SmHo6Co2

An optimized crystal structure of SmHo6Co2 (PBE, Alexandria via LeMat-Bulk).

The uncorrected energy is -187.8 eV for the cell shown. As for the calculated formation energy: -0.0612 eV per atom.

It has space group Immm (No. 71), with a = 9.480 Å, b = 9.861 Å, c = 10.029 Å, α = 90.00°, β = 90.00° and γ = 90.00°. The inequivalent atoms are Sm at (0.000, 0.000, 0.000), Sm at (0.000, 0.000, 0.500), Ho at (0.000, 0.217, 0.240), Ho at (0.184, 0.500, 0.181), Ho at (0.211, 0.314, 0.500), Co at (0.000, 0.315, 0.000) and Co at (0.000, 0.500, 0.387).

Q: Which value of uncorrected energy does entry 5 give?
A: -30.4 eV for the cell shown

Q: Among the records above, which one has the highest uncorrected energy?
A: SmSc3Cd4

Q: Number 5 is which compound?
A: KTl3Ag3